## P
VASP calculation (PBE-GGA) on HfInOF2 after structural relaxation.

## Properties
- Calculated density: 6.50 g cm⁻³

abc: 4.6727 4.6727 4.0629
angles: 90.00 90.00 90.00
Fractional positions:
Hf: 0.0000 0.0000 0.0000
In: 0.5000 0.5000 0.5000
O: 0.0000 0.0000 0.5000
F: 0.0000 0.5000 0.0000
F: 0.5000 0.0000 0.0000


## Q
VASP calculation (PBE-GGA) on HfInOF2 after structural relaxation.

## Properties
- Calculated density: 6.76 g cm⁻³

abc: 4.4997 4.4997 4.2150
angles: 90.00 90.00 90.00
Fractional positions:
Hf: 0.0000 0.0000 0.0000
In: 0.5000 0.5000 0.5000
O: 0.5000 0.5000 0.0000
F: 0.0000 0.5000 0.5000
F: 0.5000 0.0000 0.5000


Which of them is the least stable? Correct choice: Q.


## P
VASP calculation (PBE-GGA) on Hf2IrF after structural relaxation.

## Properties
- Calculated density: 13.95 g cm⁻³

abc: 4.5734 4.5734 4.5734
angles: 60.00 60.00 60.00
Fractional positions:
Hf: 0.2500 0.2500 0.2500
Hf: 0.7500 0.7500 0.7500
Ir: 0.0000 0.0000 0.0000
F: 0.5000 0.5000 0.5000


## Q
VASP calculation (PBE-GGA) on Hf2IrF after structural relaxation.

## Properties
- Calculated density: 11.60 g cm⁻³

abc: 7.0685 7.0685 7.0685
angles: 136.94 136.94 62.53
Fractional positions:
Hf: 0.0735 0.6250 0.9485
Hf: 0.3750 0.3235 0.4485
Hf: 0.6765 0.1250 0.0515
Hf: 0.8750 0.9265 0.5515
Ir: 0.2500 0.7500 0.5000
Ir: 0.5000 0.5000 0.0000
F: 0.0000 0.0000 0.0000
F: 0.7500 0.2500 0.5000


Which of them is the least stable? Correct choice: Q.


## P
VASP calculation (PBE-GGA) on K2HfF2 after structural relaxation.

## Properties
- Calculated density: 4.66 g cm⁻³

abc: 7.8678 7.8678 3.3963
angles: 90.00 90.00 90.00
Fractional positions:
K: 0.1389 0.3611 0.0000
K: 0.3611 0.8611 0.0000
K: 0.6389 0.1389 0.0000
K: 0.8611 0.6389 0.0000
Hf: 0.0000 0.0000 0.5000
Hf: 0.5000 0.5000 0.5000
F: 0.1673 0.6673 0.5000
F: 0.3327 0.1673 0.5000
F: 0.6673 0.8327 0.5000
F: 0.8327 0.3327 0.5000


## Q
VASP calculation (PBE-GGA) on K2HfF2 after structural relaxation.

## Properties
- Calculated density: 2.94 g cm⁻³

abc: 8.1649 8.1649 8.1649
angles: 146.32 146.32 48.38
Fractional positions:
K: 0.2500 0.7500 0.5000
K: 0.7500 0.2500 0.5000
Hf: 0.0000 0.0000 0.0000
F: 0.3098 0.3098 0.0000
F: 0.6902 0.6902 0.0000


Which of them is the least stable? Correct choice: Q.


## P
VASP calculation (PBE-GGA) on KHfF2 after structural relaxation.

## Properties
- Calculated density: 5.09 g cm⁻³

abc: 6.2864 6.2864 6.2864
angles: 123.12 123.12 84.68
Fractional positions:
K: 0.0000 0.0000 0.0000
K: 0.7500 0.2500 0.5000
Hf: 0.2500 0.7500 0.5000
Hf: 0.5000 0.5000 0.0000
F: 0.1749 0.6250 0.0499
F: 0.3750 0.4249 0.5499
F: 0.5751 0.1250 0.9501
F: 0.8750 0.8251 0.4501


## Q
VASP calculation (PBE-GGA) on KHfF2 after structural relaxation.

## Properties
- Calculated density: 5.42 g cm⁻³

abc: 7.5001 7.5001 7.5001
angles: 27.30 27.30 27.30
Fractional positions:
K: 0.0000 0.0000 0.0000
Hf: 0.5000 0.5000 0.5000
F: 0.4060 0.4060 0.4060
F: 0.5940 0.5940 0.5940


## R
VASP calculation (PBE-GGA) on KHfF2 after structural relaxation.

## Properties
- Calculated density: 5.88 g cm⁻³

abc: 4.6726 4.6726 4.6726
angles: 60.00 60.00 60.00
Fractional positions:
K: 0.0000 0.0000 0.0000
Hf: 0.5000 0.5000 0.5000
F: 0.2500 0.2500 0.2500
F: 0.7500 0.7500 0.7500


## S
VASP calculation (PBE-GGA) on KHfF2 after structural relaxation.

## Properties
- Calculated density: 5.93 g cm⁻³

abc: 8.5246 8.5246 8.5246
angles: 21.29 21.29 21.29
Fractional positions:
K: 0.0000 0.0000 0.0000
Hf: 0.5000 0.5000 0.5000
F: 0.1004 0.1004 0.1004
F: 0.8996 0.8996 0.8996


Which of them is the least stable? Correct choice: R.


## P
VASP calculation (PBE-GGA) on KHf2F8 after structural relaxation.

## Properties
- Calculated density: 5.55 g cm⁻³

abc: 7.1791 7.1791 4.1513
angles: 90.96 90.96 50.02
Fractional positions:
K: 0.0000 0.0000 0.0000
Hf: 0.2745 0.2745 0.6008
Hf: 0.7255 0.7255 0.3992
F: 0.0756 0.6306 0.3891
F: 0.2239 0.2239 0.0985
F: 0.3694 0.9244 0.6109
F: 0.4015 0.4015 0.8518
F: 0.5985 0.5985 0.1482
F: 0.6306 0.0756 0.3891
F: 0.7761 0.7761 0.9015
F: 0.9244 0.3694 0.6109


## Q
VASP calculation (PBE-GGA) on KHf2F8 after structural relaxation.

## Properties
- Calculated density: 6.50 g cm⁻³

abc: 6.0931 6.0931 4.1695
angles: 95.57 95.57 113.27
Fractional positions:
K: 0.0000 0.0000 0.0000
Hf: 0.3209 0.6791 0.5000
Hf: 0.6791 0.3209 0.5000
F: 0.0453 0.3352 0.5640
F: 0.2702 0.7298 0.0000
F: 0.3352 0.0453 0.5640
F: 0.4088 0.4088 0.2382
F: 0.5912 0.5912 0.7618
F: 0.6648 0.9547 0.4360
F: 0.7298 0.2702 0.0000
F: 0.9547 0.6648 0.4360


Which of them is the least stable? Correct choice: P.


## P
VASP calculation (PBE-GGA) on KHfN2F after structural relaxation.

## Properties
- Calculated density: 5.71 g cm⁻³

abc: 4.1849 4.1849 4.3960
angles: 90.00 90.00 90.00
Fractional positions:
K: 0.0000 0.0000 0.0000
Hf: 0.5000 0.5000 0.5000
N: 0.0000 0.5000 0.5000
N: 0.5000 0.0000 0.5000
F: 0.5000 0.5000 0.0000


## Q
VASP calculation (PBE-GGA) on KHfN2F after structural relaxation.

## Properties
- Calculated density: 6.07 g cm⁻³

abc: 4.2054 4.2054 4.0951
angles: 90.00 90.00 90.00
Fractional positions:
K: 0.0000 0.0000 0.0000
Hf: 0.5000 0.5000 0.5000
N: 0.0000 0.5000 0.0000
N: 0.5000 0.0000 0.0000
F: 0.0000 0.0000 0.5000


Which of them is the least stable? Correct choice: Q.


## P
VASP calculation (PBE-GGA) on KHfNF2 after structural relaxation.

## Properties
- Calculated density: 5.16 g cm⁻³

abc: 4.2410 4.2410 4.8263
angles: 90.00 90.00 90.00
Fractional positions:
K: 0.0000 0.0000 0.0000
Hf: 0.5000 0.5000 0.5000
N: 0.0000 0.0000 0.5000
F: 0.0000 0.5000 0.0000
F: 0.5000 0.0000 0.0000


## Q
VASP calculation (PBE-GGA) on KHfNF2 after structural relaxation.

## Properties
- Calculated density: 5.80 g cm⁻³

abc: 4.3164 4.3164 4.1407
angles: 90.00 90.00 90.00
Fractional positions:
K: 0.0000 0.0000 0.0000
Hf: 0.5000 0.5000 0.5000
N: 0.5000 0.5000 0.0000
F: 0.0000 0.5000 0.5000
F: 0.5000 0.0000 0.5000


Which of them is the least stable? Correct choice: P.


## P
VASP calculation (PBE-GGA) on LaHfF3 after structural relaxation.

## Properties
- Calculated density: 5.67 g cm⁻³

abc: 4.7865 4.7865 4.7865
angles: 90.00 90.00 90.00
Fractional positions:
La: 0.0000 0.0000 0.0000
Hf: 0.5000 0.5000 0.5000
F: 0.0000 0.0000 0.5000
F: 0.0000 0.5000 0.0000
F: 0.5000 0.0000 0.0000


## Q
VASP calculation (PBE-GGA) on LaHfF3 after structural relaxation.

## Properties
- Calculated density: 7.17 g cm⁻³

abc: 4.4256 4.4256 4.4256
angles: 90.00 90.00 90.00
Fractional positions:
La: 0.0000 0.0000 0.0000
Hf: 0.5000 0.5000 0.5000
F: 0.0000 0.5000 0.5000
F: 0.5000 0.0000 0.5000
F: 0.5000 0.5000 0.0000


Which of them is the least stable? Correct choice: P.